# 1
Below is a geometry-optimized KCa2Pd structure, with properties calculated at the PBE level.

Calculated values
* total magnetization: 0.0 μB per formula unit
* E above lowest polymorph: 259 meV per atom

a = 5.5252 Å, b = 5.5252 Å, c = 5.5252 Å
α = 60.00°, β = 60.00°, γ = 60.00°
Closest atoms and distances in Å follow each position.
Atoms (fractional coordinates):
1 K 0.0000 0.0000 0.0000  8 Ca 3.38
2 Ca 0.2500 0.2500 0.2500  4 K 3.38, 4 Pd 3.38
3 Ca 0.7500 0.7500 0.7500  4 K 3.38, 4 Pd 3.38
4 Pd 0.5000 0.5000 0.5000  8 Ca 3.38

=====

# 2
Below is a geometry-optimized K2Ca2Pd structure, with properties calculated at the PBE level.

Calculated values
* total magnetization: 0.0 μB per formula unit
* E above lowest polymorph: 404 meV per atom

a = 10.9710 Å, b = 10.9710 Å, c = 10.9710 Å
α = 157.33°, β = 157.33°, γ = 32.27°
Closest atoms and distances in Å follow each position.
Atoms (fractional coordinates):
1 K 0.2500 0.7500 0.5000  4 K 3.05
2 K 0.7500 0.2500 0.5000  4 K 3.05
3 Ca 0.0760 0.0760 0.0000  1 Ca 3.20, 4 Pd 3.44
4 Ca 0.9240 0.9240 0.0000  1 Ca 3.20, 4 Pd 3.44
5 Pd 0.5000 0.5000 0.0000  8 Ca 3.44

=====

# 3
Below is a geometry-optimized K2CaPd9 structure, with properties calculated at the PBE level.

Calculated values
* total magnetization: 0.0 μB per formula unit

a = 9.6349 Å, b = 9.6349 Å, c = 9.6349 Å
α = 32.88°, β = 32.88°, γ = 32.88°
Closest atoms and distances in Å follow each position.
Atoms (fractional coordinates):
1 K 0.1440 0.1440 0.1440  12 Pd 3.21-3.35, 3 K 3.38
2 K 0.8560 0.8560 0.8560  12 Pd 3.21-3.35, 3 K 3.38
3 Ca 0.0000 0.0000 0.0000  18 Pd 3.15-3.51
4 Pd 0.0810 0.5812 0.5812  7 Pd 2.71-2.82
5 Pd 0.3328 0.3328 0.3328  6 Pd 2.71-2.73
6 Pd 0.4188 0.4188 0.9190  7 Pd 2.71-2.82
7 Pd 0.4188 0.9190 0.4188  7 Pd 2.71-2.82
8 Pd 0.5000 0.5000 0.5000  6 Pd 2.82
9 Pd 0.5812 0.0810 0.5812  7 Pd 2.71-2.82
10 Pd 0.5812 0.5812 0.0810  7 Pd 2.71-2.82
11 Pd 0.6672 0.6672 0.6672  6 Pd 2.71-2.73
12 Pd 0.9190 0.4188 0.4188  7 Pd 2.71-2.82

=====

Number 1: energy -2.601 eV per atom, formation energy from the elements -0.11 eV per formula unit. Number 2: energy -1.917 eV per atom, formation energy from the elements 1.80 eV per formula unit. Number 3: energy -4.410 eV per atom, formation energy from the elements -1.99 eV per formula unit.